Record 1
Entry from Alexandria: a relaxed CoBr3Cl crystal (PBE).

Calculated values
E	-2.87	eV per atom
E_form (uncorrected)	-0.0761	eV per atom
SG	P2_1/c (14)
D(E_F)	0.000	states/eV/f.u.

a = 32.9338 Å, b = 5.3510 Å, c = 12.8009 Å
α = 90.00°, β = 161.07°, γ = 90.00°
Closest atoms and distances in Å follow each position.
Atoms (fractional coordinates):
Co: 0.1132 0.4904 0.6792  4 Br 2.28-2.34
Co: 0.8868 0.5096 0.3208  4 Br 2.28-2.34
Co: 0.3868 0.9904 0.8208  4 Br 2.28-2.34
Co: 0.6132 0.0096 0.1792  4 Br 2.28-2.34
Br: 0.3534 0.1618 0.9006  1 Co 2.28, 1 Cl 2.53
Br: 0.6466 0.8382 0.0994  1 Co 2.28, 1 Cl 2.53
Br: 0.1466 0.6618 0.5994  1 Co 2.28, 1 Cl 2.53
Br: 0.8534 0.3382 0.4006  1 Co 2.28, 1 Cl 2.53
Br: 0.3017 0.2826 0.1233  1 Co 2.31, 1 Cl 2.52
Br: 0.6983 0.7174 0.8767  1 Co 2.31, 1 Cl 2.52
Br: 0.1983 0.7826 0.3767  1 Co 2.31, 1 Cl 2.52
Br: 0.8017 0.2174 0.6233  1 Co 2.31, 1 Cl 2.52
Br: 0.4124 0.8432 0.7126  2 Co 2.34
Br: 0.5876 0.1568 0.2874  2 Co 2.34
Br: 0.0876 0.3432 0.7874  2 Co 2.34
Br: 0.9124 0.6568 0.2126  2 Co 2.34
Cl: 0.4682 0.5663 0.6016  2 Br 2.52-2.53
Cl: 0.5318 0.4337 0.3984  2 Br 2.52-2.53
Cl: 0.0318 0.0663 0.8984  2 Br 2.52-2.53
Cl: 0.9682 0.9337 0.1016  2 Br 2.52-2.53

Record 2
Entry from Alexandria: a relaxed CoBr3Cl crystal (PBE).

Calculated values
E	-2.69	eV per atom
E_form (uncorrected)	0.1082	eV per atom
SG	P4mm (99)
D(E_F)	1.939	states/eV/f.u.

a = 4.7918 Å, b = 4.7918 Å, c = 8.6148 Å
α = 90.00°, β = 90.00°, γ = 90.00°
Closest atoms and distances in Å follow each position.
Atoms (fractional coordinates):
Co: 0.5000 0.5000 0.2083  4 Br 2.44
Br: 0.0000 0.0000 0.8908  1 Cl 2.16
Br: 0.5000 0.0000 0.2625  2 Co 2.44
Br: 0.0000 0.5000 0.2625  2 Co 2.44
Cl: 0.0000 0.0000 0.6398  1 Br 2.16

Record 3
Entry from Alexandria: a relaxed CoBr3Cl crystal (PBE).

Calculated values
E	-2.74	eV per atom
E_form (uncorrected)	0.0511	eV per atom
SG	Fd-3m (227)
D(E_F)	4.100	states/eV/f.u.

a = 9.0778 Å, b = 9.0778 Å, c = 9.0778 Å
α = 60.00°, β = 60.00°, γ = 60.00°
Closest atoms and distances in Å follow each position.
Atoms (fractional coordinates):
Co: 0.6250 0.6250 0.6250  6 Br 2.45
Co: 0.6250 0.1250 0.6250  6 Br 2.45
Co: 0.1250 0.6250 0.6250  6 Br 2.45
Co: 0.6250 0.6250 0.1250  6 Br 2.45
Br: 0.6974 0.3026 0.3026  2 Co 2.45
Br: 0.9474 0.5526 0.5526  2 Co 2.45
Br: 0.5526 0.5526 0.9474  2 Co 2.45
Br: 0.5526 0.9474 0.9474  2 Co 2.45
Br: 0.9474 0.5526 0.9474  2 Co 2.45
Br: 0.6974 0.3026 0.6974  2 Co 2.45
Br: 0.5526 0.9474 0.5526  2 Co 2.45
Br: 0.9474 0.9474 0.5526  2 Co 2.45
Br: 0.3026 0.6974 0.3026  2 Co 2.45
Br: 0.3026 0.6974 0.6974  2 Co 2.45
Br: 0.3026 0.3026 0.6974  2 Co 2.45
Br: 0.6974 0.6974 0.3026  2 Co 2.45
Cl: 0.1250 0.1250 0.1250  6 Br 3.22
Cl: 0.1250 0.6250 0.1250  6 Br 3.22
Cl: 0.6250 0.1250 0.1250  6 Br 3.22
Cl: 0.1250 0.1250 0.6250  6 Br 3.22

Record 4
Entry from Alexandria: a relaxed CoBrCl2 crystal (PBE).

Calculated values
E	-2.93	eV per atom
E_form (uncorrected)	0.1893	eV per atom
SG	P4mm (99)
D(E_F)	2.913	states/eV/f.u.

a = 3.0965 Å, b = 3.0965 Å, c = 9.7974 Å
α = 90.00°, β = 90.00°, γ = 90.00°
Closest atoms and distances in Å follow each position.
Atoms (fractional coordinates):
Co: 0.0000 0.0000 0.4909  4 Cl 2.60, 4 Br 2.77
Br: 0.5000 0.5000 0.6636  4 Co 2.77, 4 Br 3.10
Cl: 0.0000 0.0000 0.9983  4 Cl 3.10
Cl: 0.5000 0.5000 0.3472  4 Co 2.60

Record 5
Entry from Alexandria: a relaxed CoBrCl2 crystal (PBE).

Calculated values
E	-3.15	eV per atom
E_form (uncorrected)	-0.0273	eV per atom
SG	P4/mmm (123)
D(E_F)	2.339	states/eV/f.u.

a = 3.0358 Å, b = 3.0391 Å, c = 11.0562 Å
α = 90.00°, β = 90.00°, γ = 90.00°
Closest atoms and distances in Å follow each position.
Atoms (fractional coordinates):
Co: 0.5000 0.5000 0.2500  8 Cl 2.61
Br: 0.5000 0.5000 0.7500  4 Br 3.04
Cl: 0.0000 0.0000 0.1156  4 Co 2.61
Cl: 0.0000 0.0000 0.3844  4 Co 2.61

Record 6
Entry from Alexandria: a relaxed CoBrCl2 crystal (PBE).

Calculated values
E	-2.47	eV per atom
E_form (uncorrected)	0.6456	eV per atom
SG	Fm-3m (225)
D(E_F)	6.694	states/eV/f.u.

a = 4.8970 Å, b = 4.8970 Å, c = 4.8970 Å
α = 60.00°, β = 60.00°, γ = 60.00°
Closest atoms and distances in Å follow each position.
Atoms (fractional coordinates):
Co: 0.0000 0.0000 0.0000  8 Cl 3.00
Br: 0.5000 0.5000 0.5000  8 Cl 3.00
Cl: 0.2500 0.2500 0.2500  4 Br 3.00, 4 Co 3.00
Cl: 0.7500 0.7500 0.7500  4 Br 3.00, 4 Co 3.00

Record 7
Entry from Alexandria: a relaxed CoBrCl2 crystal (PBE).

Calculated values
E	-2.72	eV per atom
E_form (uncorrected)	0.3991	eV per atom
SG	C2/m (12)
D(E_F)	6.218	states/eV/f.u.

a = 5.0174 Å, b = 5.0174 Å, c = 5.0056 Å
α = 64.31°, β = 64.31°, γ = 97.44°
Closest atoms and distances in Å follow each position.
Atoms (fractional coordinates):
Co: 0.5000 0.0000 0.5000  4 Cl 2.67
Br: 0.0000 0.5000 0.5000  4 Cl 2.67
Cl: 0.0000 0.0000 0.0000  2 Co 2.67, 2 Br 2.67
Cl: 0.5000 0.5000 0.0000  2 Br 2.67, 2 Co 2.67

Record 8
Entry from Alexandria: a relaxed CoBr3Cl crystal (PBE).

Calculated values
E	-3.08	eV per atom
E_form (uncorrected)	-0.2828	eV per atom
SG	P1 (1)
D(E_F)	0.000	states/eV/f.u.

a = 5.9528 Å, b = 7.1456 Å, c = 9.7681 Å
α = 68.69°, β = 98.99°, γ = 102.85°
Closest atoms and distances in Å follow each position.
Atoms (fractional coordinates):
Co: 0.8538 0.6565 0.8415  1 Cl 2.25, 5 Br 2.39-2.43
Co: 0.3580 0.6564 0.8416  1 Cl 2.25, 5 Br 2.39-2.43
Br: 0.0631 0.3831 0.9597  2 Co 2.39
Br: 0.5698 0.1530 0.2145  1 Cl 2.23
Br: 0.1824 0.8624 0.9266  2 Co 2.40-2.41
Br: 0.6407 0.5829 0.0530  2 Co 2.43
Br: 0.5289 0.4496 0.7566  2 Co 2.39
Br: 0.0737 0.7323 0.6367  2 Co 2.39
Cl: 0.6459 0.9084 0.7353  2 Co 2.25
Cl: 0.5193 0.8221 0.3514  1 Br 2.23

Record 9
Entry from Alexandria: a relaxed CoBrCl2 crystal (PBE).

Calculated values
E	-3.22	eV per atom
E_form (uncorrected)	-0.1002	eV per atom
SG	R3m (160)

a = 7.8979 Å, b = 7.8979 Å, c = 7.8979 Å
α = 25.67°, β = 25.67°, γ = 25.67°
Closest atoms and distances in Å follow each position.
Atoms (fractional coordinates):
Co: 0.4968 0.4968 0.4968  3 Cl 2.36, 3 Br 2.42
Br: 0.7725 0.7725 0.7725  3 Co 2.42
Cl: 0.0144 0.0144 0.0144  3 Br 2.91
Cl: 0.2163 0.2163 0.2163  3 Co 2.36

Record 10
Entry from Alexandria: a relaxed CoBr3Cl crystal (PBE).

Calculated values
E	-3.02	eV per atom
E_form (uncorrected)	-0.2299	eV per atom
SG	P1 (1)
D(E_F)	3.480	states/eV/f.u.

a = 6.6335 Å, b = 7.0388 Å, c = 11.4158 Å
α = 62.81°, β = 103.10°, γ = 69.25°
Closest atoms and distances in Å follow each position.
Atoms (fractional coordinates):
Co: 0.4568 0.3778 0.4112  1 Cl 2.26, 4 Br 2.30-2.42
Co: 0.3557 0.8824 0.1156  2 Cl 2.12-2.26, 1 Br 2.33
Br: 0.2350 0.1760 0.4478  1 Co 2.36
Br: 0.7845 0.0676 0.4384  1 Co 2.30
Br: 0.6098 0.6542 0.3785  2 Co 2.41-2.42
Br: 0.1041 0.3133 0.9962  1 Co 2.33
Br: 0.7730 0.3281 0.7933  2 Br 2.49-2.74
Br: 0.4787 0.2816 0.6466  1 Co 2.41, 1 Br 2.49
Cl: 0.5483 0.7837 0.0081  1 Co 2.12
Cl: 0.1529 0.6838 0.1759  2 Co 2.26

Record 11
Entry from Alexandria: a relaxed CoBr3Cl crystal (PBE).

Calculated values
E	-3.03	eV per atom
E_form (uncorrected)	-0.2391	eV per atom
SG	P1 (1)
D(E_F)	0.000	states/eV/f.u.

a = 7.9098 Å, b = 6.6317 Å, c = 7.7890 Å
α = 107.46°, β = 119.75°, γ = 96.22°
Closest atoms and distances in Å follow each position.
Atoms (fractional coordinates):
Co: 0.5435 0.1678 0.8283  1 Cl 2.28, 5 Br 2.34-2.43
Co: 0.7599 0.6390 0.9398  2 Cl 2.21-2.27, 4 Br 2.39-2.45
Br: 0.8808 0.4001 0.1194  2 Co 2.38-2.39
Br: 0.8704 0.9501 0.2678  1 Co 2.40, 1 Br 2.66
Br: 0.4394 0.4920 0.9022  2 Co 2.40-2.45
Br: 0.2292 0.8971 0.5118  1 Co 2.40, 1 Br 2.66
Br: 0.6505 0.8492 0.7205  2 Co 2.42-2.43
Br: 0.4974 0.0584 0.0654  1 Co 2.34
Cl: 0.0472 0.7253 0.9563  1 Co 2.21
Cl: 0.6205 0.3197 0.6390  2 Co 2.27-2.28

Record 12
Entry from Alexandria: a relaxed Cs2CoBr4Cl2 crystal (PBE).

Calculated values
E	-3.15	eV per atom
E_form (uncorrected)	-1.0215	eV per atom
SG	I4/mmm (139)
D(E_F)	12.173	states/eV/f.u.

a = 7.7242 Å, b = 7.7242 Å, c = 7.7242 Å
α = 83.75°, β = 123.67°, γ = 123.67°
Closest atoms and distances in Å follow each position.
Atoms (fractional coordinates):
Cs: 0.5000 0.7500 0.2500  4 Cl 3.70, 8 Br 3.87
Cs: 0.5000 0.2500 0.7500  4 Cl 3.70, 8 Br 3.87
Co: 0.0000 0.0000 0.0000  2 Cl 2.26, 4 Br 2.42
Br: 0.0000 0.7653 0.2347  1 Co 2.42
Br: 0.5306 0.7653 0.7653  1 Co 2.42
Br: 0.0000 0.2347 0.7653  1 Co 2.42
Br: 0.4694 0.2347 0.2347  1 Co 2.42
Cl: 0.0000 0.8033 0.8033  1 Co 2.26
Cl: 0.0000 0.1967 0.1967  1 Co 2.26

Record 13
Entry from Alexandria: a relaxed CsCoBrCl2 crystal (PBE).

Calculated values
E	-3.61	eV per atom
E_form (uncorrected)	-0.9469	eV per atom
SG	P4/mmm (123)
D(E_F)	7.691	states/eV/f.u.

a = 5.0504 Å, b = 5.0504 Å, c = 5.2363 Å
α = 90.00°, β = 90.00°, γ = 90.00°
Closest atoms and distances in Å follow each position.
Atoms (fractional coordinates):
Cs: 0.5000 0.5000 0.5000  4 Br 3.57, 8 Cl 3.64
Co: 0.0000 0.0000 0.0000  4 Cl 2.53, 2 Br 2.62
Br: 0.0000 0.0000 0.5000  2 Co 2.62
Cl: 0.0000 0.5000 0.0000  2 Co 2.53
Cl: 0.5000 0.0000 0.0000  2 Co 2.53

Record 14
Entry from Alexandria: a relaxed FeCo2BrCl crystal (PBE).

Calculated values
E	-4.35	eV per atom
E_form (uncorrected)	0.8899	eV per atom
SG	P4/mmm (123)
D(E_F)	7.467	states/eV/f.u.

a = 4.3096 Å, b = 4.4345 Å, c = 4.3096 Å
α = 90.00°, β = 90.00°, γ = 90.00°
Closest atoms and distances in Å follow each position.
Atoms (fractional coordinates):
Co: 0.0000 0.0000 0.5000  2 Cl 2.15
Co: 0.5000 0.0000 0.0000  2 Cl 2.15
Fe: 0.0000 0.5000 0.0000  2 Cl 2.22
Br: 0.5000 0.5000 0.5000  4 Fe 3.05, 8 Co 3.09
Cl: 0.0000 0.0000 0.0000  4 Co 2.15, 2 Fe 2.22

Record 15
Entry from Alexandria: a relaxed GaCoBrCl4 crystal (PBE).

Calculated values
E	-3.54	eV per atom
E_form (uncorrected)	-0.7988	eV per atom
SG	C2/m (12)
D(E_F)	0.680	states/eV/f.u.

a = 7.6415 Å, b = 7.6415 Å, c = 13.6592 Å
α = 52.12°, β = 52.12°, γ = 54.93°
Closest atoms and distances in Å follow each position.
Atoms (fractional coordinates):
Ga: 0.7143 0.7143 0.6696  4 Cl 2.14-2.31
Ga: 0.2857 0.2857 0.3304  4 Cl 2.14-2.31
Co: 0.1443 0.1443 0.8502  2 Cl 2.28, 2 Br 2.40-2.41
Co: 0.8557 0.8557 0.1498  2 Cl 2.28, 2 Br 2.40-2.41
Br: 0.0815 0.0815 0.0640  2 Co 2.40-2.41
Br: 0.9185 0.9185 0.9360  2 Co 2.40-2.41
Cl: 0.1478 0.1478 0.5475  1 Ga 2.15
Cl: 0.8522 0.8522 0.4525  1 Ga 2.15
Cl: 0.9714 0.4641 0.2767  1 Co 2.28, 1 Ga 2.31
Cl: 0.5021 0.5021 0.2020  1 Ga 2.14
Cl: 0.5359 0.0286 0.7233  1 Co 2.28, 1 Ga 2.31
Cl: 0.4641 0.9714 0.2767  1 Co 2.28, 1 Ga 2.31
Cl: 0.4979 0.4979 0.7980  1 Ga 2.14
Cl: 0.0286 0.5359 0.7233  1 Co 2.28, 1 Ga 2.31

Record 16
Entry from Alexandria: a relaxed Co2IBrCl crystal (PBE).

Calculated values
E	-2.84	eV per atom
E_form (uncorrected)	1.0162	eV per atom
SG	P4/mmm (123)
D(E_F)	4.850	states/eV/f.u.

a = 4.9598 Å, b = 5.6061 Å, c = 4.9598 Å
α = 90.00°, β = 90.00°, γ = 90.00°
Closest atoms and distances in Å follow each position.
Atoms (fractional coordinates):
I: 0.0000 0.0000 0.0000  4 Co 2.48
Co: 0.0000 0.0000 0.5000  2 I 2.48
Co: 0.5000 0.0000 0.0000  2 I 2.48
Br: 0.0000 0.5000 0.0000  2 I 2.80
Cl: 0.5000 0.5000 0.5000  4 Br 3.51, 8 Co 3.74

Record 17
Entry from Alexandria: a relaxed KCoBrCl2 crystal (PBE).

Calculated values
E	-3.65	eV per atom
E_form (uncorrected)	-0.9334	eV per atom
SG	P4/mmm (123)
D(E_F)	7.313	states/eV/f.u.

a = 4.8394 Å, b = 4.8394 Å, c = 5.3057 Å
α = 90.00°, β = 90.00°, γ = 90.00°
Closest atoms and distances in Å follow each position.
Atoms (fractional coordinates):
K: 0.5000 0.5000 0.5000  4 Br 3.42, 8 Cl 3.59
Co: 0.0000 0.0000 0.0000  4 Cl 2.42, 2 Br 2.65
Br: 0.0000 0.0000 0.5000  2 Co 2.65
Cl: 0.0000 0.5000 0.0000  2 Co 2.42
Cl: 0.5000 0.0000 0.0000  2 Co 2.42

Record 18
Entry from Alexandria: a relaxed K2CoBr2Cl2 crystal (PBE).

Calculated values
E	-3.51	eV per atom
E_form (uncorrected)	-1.1792	eV per atom
SG	P-1 (2)
D(E_F)	1.977	states/eV/f.u.

a = 4.1360 Å, b = 7.0944 Å, c = 7.9272 Å
α = 63.37°, β = 74.85°, γ = 89.89°
Closest atoms and distances in Å follow each position.
Atoms (fractional coordinates):
K: 0.1587 0.6589 0.6838  2 Cl 3.08
K: 0.8413 0.3411 0.3162  2 Cl 3.08
Co: 0.0000 0.0000 0.0000  2 Cl 2.36
Br: 0.4997 0.2458 0.9991  2 Co 2.70
Br: 0.5003 0.7542 0.0009  2 Co 2.70
Cl: 0.1736 0.1729 0.6519  1 Co 2.36
Cl: 0.8264 0.8271 0.3481  1 Co 2.36

Record 19
Entry from Alexandria: a relaxed La4CoBrCl2 crystal (PBE).

Calculated values
E	-5.19	eV per atom
E_form (uncorrected)	-1.1648	eV per atom
SG	P2/m (10)
D(E_F)	6.071	states/eV/f.u.

a = 4.0181 Å, b = 7.2962 Å, c = 7.8488 Å
α = 71.81°, β = 90.00°, γ = 90.00°
Closest atoms and distances in Å follow each position.
Atoms (fractional coordinates):
La: 0.0000 0.7561 0.7238  3 Cl 2.89-3.21, 1 Co 2.94, 2 Br 3.11
La: 0.0000 0.2439 0.2762  3 Cl 2.89-3.21, 1 Co 2.94, 2 Br 3.11
La: 0.5000 0.7164 0.2944  2 Co 2.75, 1 Cl 3.00
La: 0.5000 0.2836 0.7056  2 Co 2.75, 1 Cl 3.00
Co: 0.0000 0.5000 0.5000  6 La 2.75-2.94
Br: 0.5000 0.5000 0.0000  6 La 3.11-3.18
Cl: 0.0000 0.0000 0.0000  6 La 3.21-3.27
Cl: 0.5000 0.0000 0.5000  6 La 2.89-3.00

Record 20
Entry from Alexandria: a relaxed La6CoBr3Cl2 crystal (PBE).

Calculated values
E	-5.01	eV per atom
E_form (uncorrected)	-1.2237	eV per atom
SG	C2/m (12)
D(E_F)	8.430	states/eV/f.u.

a = 7.1594 Å, b = 7.1594 Å, c = 7.9242 Å
α = 97.75°, β = 97.75°, γ = 120.46°
Closest atoms and distances in Å follow each position.
Atoms (fractional coordinates):
La: 0.9345 0.6007 0.7868  2 Cl 2.87-2.92, 1 Co 2.89, 1 Br 3.15
La: 0.7671 0.7671 0.1997  1 Co 2.58
La: 0.0655 0.3993 0.2132  2 Cl 2.87-2.92, 1 Co 2.89, 1 Br 3.15
La: 0.6007 0.9345 0.7868  2 Cl 2.87-2.92, 1 Co 2.89, 1 Br 3.15
La: 0.2329 0.2329 0.8003  1 Co 2.58
La: 0.3993 0.0655 0.2132  2 Cl 2.87-2.92, 1 Co 2.89, 1 Br 3.15
Co: 0.0000 0.0000 0.0000  2 La 2.58
Br: 0.1621 0.8379 0.5000  6 La 3.15-3.31
Br: 0.8379 0.1621 0.5000  6 La 3.15-3.31
Br: 0.5000 0.5000 0.5000  6 La 3.28-3.42
Cl: 0.3363 0.6637 0.0000  6 La 2.87-2.94
Cl: 0.6637 0.3363 0.0000  6 La 2.87-2.94